Compound: PaZnTcO6
Source: Alexandria
Functional: GGA-PBE
Structure: relaxed

Magnetization in μB per cell: 4.0
ΔE_f (raw) in eV/f.u.: -18.652

a b c (Å): 5.4609 5.4609 8.8688
angles (deg): 90.00 90.00 120.00
With the nearest neighbours (Å) after each atom.
Atoms (fractional coordinates):
Pa1 0.3333 0.6667 0.2500  6 O 2.18
Pa2 0.6667 0.3333 0.7500  6 O 2.18
Zn1 0.0000 0.0000 0.0000  6 O 2.21
Zn2 0.0000 0.0000 0.5000  6 O 2.21
Tc1 0.3333 0.6667 0.7500  6 O 1.99
Tc2 0.6667 0.3333 0.2500  6 O 1.99
O1 0.0272 0.3578 0.6302  1 Tc 1.99, 1 Pa 2.18, 1 Zn 2.21
O2 0.0272 0.6694 0.8698  1 Tc 1.99, 1 Pa 2.18, 1 Zn 2.21
O3 0.3306 0.3578 0.8698  1 Tc 1.99, 1 Pa 2.18, 1 Zn 2.21
O4 0.3306 0.9728 0.6302  1 Tc 1.99, 1 Pa 2.18, 1 Zn 2.21
O5 0.3578 0.0272 0.1302  1 Tc 1.99, 1 Pa 2.18, 1 Zn 2.21
O6 0.3578 0.3306 0.3698  1 Tc 1.99, 1 Pa 2.18, 1 Zn 2.21
O7 0.6422 0.6694 0.6302  1 Tc 1.99, 1 Pa 2.18, 1 Zn 2.21
O8 0.6422 0.9728 0.8698  1 Tc 1.99, 1 Pa 2.18, 1 Zn 2.21
O9 0.6694 0.0272 0.3698  1 Tc 1.99, 1 Pa 2.18, 1 Zn 2.21
O10 0.6694 0.6422 0.1302  1 Tc 1.99, 1 Pa 2.18, 1 Zn 2.21
O11 0.9728 0.3306 0.1302  1 Tc 1.99, 1 Pa 2.18, 1 Zn 2.21
O12 0.9728 0.6422 0.3698  1 Tc 1.99, 1 Pa 2.18, 1 Zn 2.21